Model P:
HfNpP2 | PBE | relaxed

a = 3.8182 Å, b = 3.8182 Å, c = 6.6096 Å
α = 73.21°, β = 73.21°, γ = 60.00°
Each line ends with the local moment (μB).
Element x y z (fractional)
Np (0.5000, 0.5000, 0.5000)  3.52
P (0.2548, 0.2548, 0.2357)  -0.06
P (0.7452, 0.7452, 0.7643)  -0.06
Hf (0.0000, 0.0000, 0.0000)  -0.01

**Fermi-level density of states**: 2.144 states/eV per atom
**Space-group type**: R-3m

Model Q:
HfNpP2 | PBE | relaxed

a = 3.6810 Å, b = 3.6810 Å, c = 7.1120 Å
α = 75.00°, β = 75.00°, γ = 60.00°
Each line ends with the local moment (μB).
Element x y z (fractional)
Hf (0.6695, 0.6695, 0.9915)  0.00
Np (0.4966, 0.4966, 0.5103)  3.71
P (0.0765, 0.0765, 0.7704)  -0.06
P (0.2574, 0.2574, 0.2278)  -0.07

**Fermi-level density of states**: 1.320 states/eV per atom
**Space-group type**: R3m

model P ends up most stable, edging out the next structure by 0.101 eV/atom.